Material: HgWI2O
Method: DFT, SCAN
State: single point on PBEsol structure

The structure in POSCAR format:
```
HgWI2O
1.0
5.607 0.000 0.000
0.000 5.607 0.000
0.000 0.000 3.807
Hg W I O
1 1 2 1
Direct
0.000 0.000 0.000
0.500 0.500 0.500
0.000 0.500 0.500
0.500 0.000 0.500
0.500 0.500 0.000
```

Values from the calculation:
As for the raw total energy: -218.63 eV/f.u.

=====

Material: SrRe2Ir
Method: DFT, SCAN
State: single point on PBEsol structure

The structure in POSCAR format:
```
SrRe2Ir
1.0
2.851 0.000 0.000
0.000 4.764 0.000
0.000 0.000 5.032
Sr Re Ir
1 2 1
Direct
0.000 0.000 0.000
0.000 0.500 0.500
0.500 0.000 0.500
0.500 0.500 0.000
```

Values from the calculation:
The formation energy comes out at 0.967 eV per atom. As for the raw total energy: -231.70 eV/f.u.

=====

Material: Zr2HgPt
Method: DFT, SCAN
State: single point on PBEsol structure

The structure in POSCAR format:
```
Zr2HgPt
1.0
3.042 0.000 0.000
0.000 3.042 0.000
0.000 0.000 8.227
Zr Hg Pt
2 1 1
Direct
0.000 0.000 0.231
0.000 0.000 0.769
0.500 0.500 0.500
0.500 0.500 0.000
```

Values from the calculation:
The formation energy comes out at -0.726 eV per atom. As for the raw total energy: -202.66 eV/f.u.

=====

Material: Be4TcOs
Method: DFT, SCAN
State: single point on PBEsol structure

The structure in POSCAR format:
```
Be4TcOs
1.0
0.000 3.055 3.055
3.055 0.000 3.055
3.055 3.055 0.000
Be Tc Os
4 1 1
Direct
0.125 0.125 0.125
0.125 0.125 0.624
0.125 0.624 0.125
0.624 0.125 0.125
0.500 0.500 0.500
0.750 0.750 0.750
```

Values from the calculation:
The formation energy comes out at -0.408 eV per atom. As for the raw total energy: -126.80 eV/f.u.

=====

Number 1: D(E_F) 4.0 states/eV/cell. Number 2: D(E_F) 3.7 states/eV/cell. Number 3: D(E_F) 4.1 states/eV/cell. Number 4: D(E_F) 3.1 states/eV/cell.